Computed, not measured: a PBEsol-optimized structure of Te2WBr at the SCAN level of DFT.

Results
Uncorrected energy ... -39.76 eV/atom
Magnetic moment ... 0.0 Bohr magnetons per cell
Energy relative to the elements, uncorrected ... 1.15 eV per atom

a b c (Å): 4.9083 4.9083 6.9977
angles (deg): 90.00 90.00 90.00
Closest atoms and distances in Å follow each position.
Space group I-4m2 (No. 119)
Symmetry-distinct sites (fractional):
Te 0.0000 0.0000 0.0000  4 Br 3.01, 4 Te 3.01
Te 0.0000 0.5000 0.2500  4 W 3.01, 4 Te 3.01
W 0.0000 0.0000 0.5000  4 Br 3.01, 4 Te 3.01
Br 0.0000 0.5000 0.7500  4 W 3.01, 4 Te 3.01